Entry 1:
RbAcMnBr6, optimized geometry, DFT PBE; density of states at the Fermi level = 0.00 states/eV/f.u.
1.0
-1.5415 -7.3314 0.6875
3.8553 2.4904 -5.9609
12.9414 -2.0150 7.5282
Br Rb Ac Mn
12 2 2 2
Direct
0.3864 0.0332 0.1426 Br
0.9668 0.3532 0.1426 Br
0.3532 0.3864 0.8574 Br
0.0332 0.3864 0.6426 Br
0.6136 0.6468 0.6426 Br
0.9668 0.6136 0.3574 Br
0.3864 0.3532 0.3574 Br
0.6468 0.0332 0.3574 Br
0.6468 0.6136 0.1426 Br
0.0332 0.6468 0.8574 Br
0.3532 0.9668 0.6426 Br
0.6136 0.9668 0.8574 Br
0.0000 0.0000 0.0000 Rb
0.0000 0.0000 0.5000 Rb
0.6667 0.3333 0.7500 Ac
0.3333 0.6667 0.2500 Ac
0.3333 0.6667 0.7500 Mn
0.6667 0.3333 0.2500 Mn

***

Entry 2:
First-principles (PBE) data for a relaxed AcMnTl2Br8 crystal, as listed in Alexandria.

```
AcMnTl2Br8
1.0
7.3484 -0.1734 0.1459
-0.1528 7.2193 -0.1738
0.1765 -0.1931 8.7005
Br Ac Tl Mn
8 1 2 1
Direct
0.7119 0.8265 0.0053 Br
0.1180 0.7869 0.7824 Br
0.8636 0.2377 0.7741 Br
0.1364 0.7623 0.2259 Br
0.3461 0.2441 0.4954 Br
0.2881 0.1735 0.9947 Br
0.6539 0.7559 0.5046 Br
0.8820 0.2131 0.2176 Br
0.0000 0.0000 0.5000 Ac
0.4934 0.5038 0.2273 Tl
0.5066 0.4962 0.7727 Tl
0.0000 0.0000 0.0000 Mn
```

***

Entry 3:
Ac12Br5N3, optimized geometry, DFT PBE; density of states at the Fermi level = 22.52 states/eV/f.u.
1.0
-11.4213 5.8233 10.4074
-6.6855 -1.9651 -14.9704
5.5539 -14.5454 5.5004
Ac Br N
48 20 12
Direct
0.7481 0.3517 0.8690 Ac
0.2481 0.3690 0.8517 Ac
0.1310 0.1483 0.2519 Ac
0.9827 0.8517 0.6036 Ac
0.8517 0.9827 0.1036 Ac
0.6209 0.1036 0.2519 Ac
0.7519 0.1209 0.1036 Ac
0.3690 0.1209 0.5173 Ac
0.1483 0.0173 0.8964 Ac
0.3791 0.8964 0.7481 Ac
0.6209 0.5173 0.8690 Ac
0.1209 0.7519 0.6036 Ac
0.8791 0.6310 0.9827 Ac
0.7519 0.6310 0.1483 Ac
0.1036 0.4827 0.8517 Ac
0.0173 0.8690 0.1209 Ac
0.6036 0.2519 0.1209 Ac
0.5173 0.8964 0.6483 Ac
0.6483 0.3964 0.5173 Ac
0.6310 0.7519 0.6483 Ac
0.8791 0.2481 0.3964 Ac
0.8964 0.3791 0.2481 Ac
0.1310 0.9827 0.3791 Ac
0.3964 0.7481 0.8791 Ac
0.8517 0.8690 0.2481 Ac
0.6310 0.8791 0.4827 Ac
0.5173 0.6209 0.3690 Ac
0.2519 0.6036 0.6209 Ac
0.8690 0.0173 0.6209 Ac
0.3517 0.7481 0.3690 Ac
0.1036 0.6209 0.7519 Ac
0.8964 0.5173 0.1483 Ac
0.7481 0.3964 0.3791 Ac
0.6036 0.3517 0.9827 Ac
0.3964 0.6483 0.0173 Ac
0.3517 0.6036 0.4827 Ac
0.2481 0.8791 0.8964 Ac
0.6483 0.2519 0.6310 Ac
0.0173 0.1483 0.3964 Ac
0.4827 0.3791 0.6310 Ac
0.1483 0.1310 0.7519 Ac
0.9827 0.1310 0.8791 Ac
0.3690 0.2481 0.3517 Ac
0.3791 0.4827 0.1310 Ac
0.2519 0.6483 0.1310 Ac
0.8690 0.8517 0.7481 Ac
0.4827 0.1036 0.3517 Ac
0.1209 0.3690 0.0173 Ac
0.8750 0.2500 0.6250 Br
0.5000 0.5000 0.0000 Br
0.7500 0.6250 0.3750 Br
0.0000 0.5000 0.5000 Br
0.3750 0.2500 0.1250 Br
0.1250 0.7500 0.3750 Br
0.0000 0.0000 0.0000 Br
0.7500 0.1250 0.8750 Br
0.0000 0.0000 0.5000 Br
0.2500 0.8750 0.1250 Br
0.5000 0.0000 0.0000 Br
0.6250 0.8750 0.2500 Br
0.5000 0.0000 0.5000 Br
0.0000 0.5000 0.0000 Br
0.2500 0.3750 0.6250 Br
0.6250 0.7500 0.8750 Br
0.5000 0.5000 0.5000 Br
0.8750 0.6250 0.7500 Br
0.3750 0.1250 0.7500 Br
0.1250 0.3750 0.2500 Br
0.2500 0.1250 0.3750 N
0.6250 0.3750 0.7500 N
0.1250 0.2500 0.8750 N
0.8750 0.1250 0.2500 N
0.2500 0.6250 0.8750 N
0.1250 0.8750 0.7500 N
0.3750 0.7500 0.6250 N
0.7500 0.3750 0.1250 N
0.6250 0.2500 0.3750 N
0.3750 0.6250 0.2500 N
0.8750 0.7500 0.1250 N
0.7500 0.8750 0.6250 N

***

Entry 4:
First-principles (PBE) data for a relaxed Ac3Br3N2 crystal, as listed in Alexandria.

```
Ac3Br3N2
1.0
-0.1474 1.1061 4.0516
-5.4734 -5.4802 -0.8825
9.6791 -10.1708 3.1286
Br Ac N
6 6 4
Direct
0.9369 0.8737 0.1232 Br
0.0631 0.1263 0.6232 Br
0.3678 0.7355 0.7500 Br
0.6322 0.2645 0.2500 Br
0.0631 0.1263 0.8768 Br
0.9369 0.8737 0.3768 Br
0.2877 0.5754 0.2500 Ac
0.3468 0.6936 0.9661 Ac
0.7123 0.4246 0.7500 Ac
0.6532 0.3064 0.0339 Ac
0.6532 0.3064 0.4661 Ac
0.3468 0.6936 0.5339 Ac
0.7670 0.5339 0.9135 N
0.2330 0.4661 0.4135 N
0.7670 0.5339 0.5865 N
0.2330 0.4661 0.0865 N
```

***

| no. | VASP energy (eV/f.u.) |
| --- | --- |
| 1 | -38.233 |
| 2 | -45.071 |
| 3 | -88.549 |
| 4 | -47.319 |